{
  "formula": "AsPSO2",
  "functional": "PBE",
  "state": "relaxed",
  "cell": [[3.6644, 0.0000, 0.0000], [0.0000, 3.6644, 0.0000], [0.0000, 0.0000, 4.7500]],
  "species": ["P", "S", "O", "O", "As"],
  "frac_coords": [[0.0000, 0.0000, 0.5000], [0.0000, 0.0000, 0.0000], [0.5000, 0.0000, 0.0000], [0.0000, 0.5000, 0.0000], [0.5000, 0.5000, 0.5000]],
  "spacegroup": "P4/mmm (123)",
  "raw_formation_energy_ev_per_atom": 0.253,
  "dft_energy_ev_per_atom": -4.5681,
  "vol_a3_per_cell": 64
}

***

{
  "formula": "AsPS2O",
  "functional": "PBE",
  "state": "relaxed",
  "cell": [[4.5470, 0.0000, 0.0000], [0.0000, 4.5470, 0.0000], [0.0000, 0.0000, 5.0017]],
  "species": ["S", "S", "O", "As", "P"],
  "frac_coords": [[0.0000, 0.5000, 0.0000], [0.5000, 0.0000, 0.0000], [0.5000, 0.5000, 0.5000], [0.0000, 0.0000, 0.0000], [0.0000, 0.0000, 0.5000]],
  "spacegroup": "P4/mmm (123)",
  "raw_formation_energy_ev_per_atom": 1.401,
  "dft_energy_ev_per_atom": -3.2535,
  "vol_a3_per_cell": 103
}

***

{
  "formula": "AsPS2O",
  "functional": "PBE",
  "state": "relaxed",
  "cell": [[4.3167, 0.0000, 0.0000], [0.0000, 4.3167, 0.0000], [0.0000, 0.0000, 4.1423]],
  "species": ["S", "S", "As", "P", "O"],
  "frac_coords": [[0.5000, 0.0000, 0.0000], [0.0000, 0.5000, 0.0000], [0.5000, 0.5000, 0.5000], [0.0000, 0.0000, 0.5000], [0.0000, 0.0000, 0.0000]],
  "spacegroup": "P4/mmm (123)",
  "raw_formation_energy_ev_per_atom": 0.803,
  "dft_energy_ev_per_atom": -3.8510,
  "vol_a3_per_cell": 77
}

***

{
  "formula": "SbAsPO2",
  "functional": "PBE",
  "state": "relaxed",
  "cell": [[3.9226, 0.0000, 0.0000], [0.0000, 3.9226, 0.0000], [0.0000, 0.0000, 4.8514]],
  "species": ["P", "As", "O", "O", "Sb"],
  "frac_coords": [[0.0000, 0.0000, 0.5000], [0.0000, 0.0000, 0.0000], [0.0000, 0.5000, 0.0000], [0.5000, 0.0000, 0.0000], [0.5000, 0.5000, 0.5000]],
  "spacegroup": "P4/mmm (123)",
  "raw_formation_energy_ev_per_atom": -0.231,
  "dft_energy_ev_per_atom": -5.0508,
  "vol_a3_per_cell": 75
}

***

{
  "formula": "SbAsP2O",
  "functional": "PBE",
  "state": "relaxed",
  "cell": [[5.0941, 0.0000, 0.0000], [0.0000, 5.0941, 0.0000], [0.0000, 0.0000, 3.8790]],
  "species": ["P", "P", "As", "Sb", "O"],
  "frac_coords": [[0.0000, 0.5000, 0.0000], [0.5000, 0.0000, 0.0000], [0.5000, 0.5000, 0.5000], [0.0000, 0.0000, 0.0000], [0.0000, 0.0000, 0.5000]],
  "spacegroup": "P4/mmm (123)",
  "raw_formation_energy_ev_per_atom": 0.524,
  "dft_energy_ev_per_atom": -4.3859,
  "vol_a3_per_cell": 101
}

***

{
  "formula": "SbAsPO2",
  "functional": "PBE",
  "state": "relaxed",
  "cell": [[-1.7107, -1.0550, -3.3325], [3.3509, -1.5511, -1.2291], [-1.4254, -4.8845, 2.2780]],
  "species": ["Sb", "As", "O", "O", "P"],
  "frac_coords": [[0.0000, 0.0000, 0.0000], [0.5000, 0.5000, 0.5000], [0.0000, 0.5000, 0.0000], [0.5000, 0.0000, 0.0000], [0.0000, 0.0000, 0.5000]],
  "spacegroup": "P4/mmm (123)",
  "raw_formation_energy_ev_per_atom": -0.181,
  "dft_energy_ev_per_atom": -5.0008,
  "vol_a3_per_cell": 84
}

***

{
  "formula": "SbAsP2O",
  "functional": "PBE",
  "state": "relaxed",
  "cell": [[4.8696, 0.0000, 0.0000], [0.0000, 4.8696, 0.0000], [0.0000, 0.0000, 3.7328]],
  "species": ["Sb", "P", "P", "As", "O"],
  "frac_coords": [[0.5000, 0.5000, 0.5000], [0.0000, 0.5000, 0.0000], [0.5000, 0.0000, 0.0000], [0.0000, 0.0000, 0.0000], [0.0000, 0.0000, 0.5000]],
  "spacegroup": "P4/mmm (123)",
  "raw_formation_energy_ev_per_atom": 0.242,
  "dft_energy_ev_per_atom": -4.6679,
  "vol_a3_per_cell": 89
}

***

{
  "formula": "AsP2SeO",
  "functional": "PBE",
  "state": "relaxed",
  "cell": [[4.8497, 0.0000, 0.0000], [0.0000, 4.8497, 0.0000], [0.0000, 0.0000, 3.6696]],
  "species": ["P", "P", "As", "O", "Se"],
  "frac_coords": [[0.5000, 0.0000, 0.0000], [0.0000, 0.5000, 0.0000], [0.0000, 0.0000, 0.0000], [0.0000, 0.0000, 0.5000], [0.5000, 0.5000, 0.5000]],
  "spacegroup": "P4/mmm (123)",
  "raw_formation_energy_ev_per_atom": 0.437,
  "dft_energy_ev_per_atom": -4.3451,
  "vol_a3_per_cell": 86
}